[1]
! Cd2ClF3 PBE optimized geometry; values from VASP
! Crystal system: orthorhombic
! Raw total energy, eV per atom: -3.437
! SG: Amm2
! E above lowest polymorph, meV/atom: 0.0
! Formation energy without anion corrections, meV/atom: -1888
&SYSTEM
  ibrav = 0, nat = 6, ntyp = 3
/
ATOMIC_SPECIES
Cl 35.45 Cl.upf
Cd 112.41 Cd.upf
F 19.00 F.upf
CELL_PARAMETERS angstrom
-0.326 0.244 -3.636
1.861 -5.127 -0.511
-5.301 -1.328 0.385
ATOMIC_POSITIONS crystal
Cl 0.500 0.803 0.197
Cd 0.000 0.028 0.972
Cd 0.500 0.481 0.519
F 0.000 0.305 0.317
F 0.500 0.200 0.800
F 0.000 0.683 0.695

---

[2]
! Zr2TaSe6 PBE optimized geometry; values from VASP
! Crystal system: monoclinic
! Raw total energy, eV per atom: -6.677
! SG: C2/m
! E above lowest polymorph, meV/atom: 0.0
! Formation energy without anion corrections, meV/atom: -1137
&SYSTEM
  ibrav = 0, nat = 9, ntyp = 3
/
ATOMIC_SPECIES
Ta 180.95 Ta.upf
Se 78.96 Se.upf
Zr 91.22 Zr.upf
CELL_PARAMETERS angstrom
3.589 0.000 -0.822
-0.530 7.765 -2.315
0.139 -0.502 8.851
ATOMIC_POSITIONS crystal
Ta 0.500 0.000 0.000
Se 0.001 0.770 0.002
Se 0.660 0.084 0.320
Se 0.668 0.577 0.337
Se 0.340 0.916 0.680
Se 0.999 0.230 0.998
Se 0.332 0.423 0.663
Zr 0.166 0.332 0.332
Zr 0.834 0.668 0.668

---

[3]
! AcPuCd PBE optimized geometry; values from VASP
! Crystal system: trigonal
! DFT formation energy, eV per formula unit: 0.34
! Raw total energy, eV per atom: -6.339
! SG: P3m1
! E above lowest polymorph, meV/atom: 70.2
&SYSTEM
  ibrav = 0, nat = 3, ntyp = 3
/
ATOMIC_SPECIES
Cd 112.41 Cd.upf
Pu 244.00 Pu.upf
Ac 227.00 Ac.upf
CELL_PARAMETERS angstrom
-1.828 3.052 -0.613
-1.331 0.287 5.396
4.658 2.419 -1.849
ATOMIC_POSITIONS crystal
Cd 0.843 0.000 0.000
Pu 0.825 0.667 0.333
Ac 0.332 0.333 0.667

---

[4]
! Y2ScI2 PBE optimized geometry; values from VASP
! Crystal system: tetragonal
! Raw total energy, eV per atom: -4.557
! SG: I4/mmm
! E above lowest polymorph, meV/atom: 32.9
! Formation energy without anion corrections, meV/atom: -85
&SYSTEM
  ibrav = 0, nat = 5, ntyp = 3
/
ATOMIC_SPECIES
Y 88.91 Y.upf
I 126.90 I.upf
Sc 44.96 Sc.upf
CELL_PARAMETERS angstrom
-2.705 3.537 -2.209
-3.634 -0.709 3.316
-0.187 6.402 4.889
ATOMIC_POSITIONS crystal
Y 0.613 0.613 0.774
Y 0.387 0.387 0.226
I 0.750 0.250 0.500
I 0.250 0.750 0.500
Sc 0.000 0.000 0.000

---

[5]
! Sr2Hg PBE optimized geometry; values from VASP
! Crystal system: trigonal
! DFT formation energy, eV per formula unit: -0.86
! Raw total energy, eV per atom: -1.508
! SG: P-3m1
&SYSTEM
  ibrav = 0, nat = 3, ntyp = 2
/
ATOMIC_SPECIES
Sr 87.62 Sr.upf
Hg 200.59 Hg.upf
CELL_PARAMETERS angstrom
-3.558 0.800 2.534
3.000 -3.017 1.273
3.972 5.562 3.822
ATOMIC_POSITIONS crystal
Sr 0.667 0.333 0.732
Sr 0.333 0.667 0.268
Hg 0.000 0.000 0.000

---

[6]
! Np2AlSi4Ni3 PBE optimized geometry; values from VASP
! Crystal system: tetragonal
! Raw total energy, eV per atom: -7.363
! SG: P-4m2
! Formation energy without anion corrections, meV/atom: -497
&SYSTEM
  ibrav = 0, nat = 10, ntyp = 4
/
ATOMIC_SPECIES
Si 28.09 Si.upf
Ni 58.69 Ni.upf
Np 237.00 Np.upf
Al 26.98 Al.upf
CELL_PARAMETERS angstrom
3.957 0.000 0.000
0.000 3.957 0.000
0.000 0.000 9.893
ATOMIC_POSITIONS crystal
Si 0.000 0.000 0.000
Si 0.000 0.500 0.351
Si 0.500 0.000 0.649
Si 0.500 0.500 0.000
Ni 0.000 0.500 0.120
Ni 0.000 0.000 0.500
Ni 0.500 0.000 0.880
Np 0.000 0.500 0.759
Np 0.500 0.000 0.241
Al 0.500 0.500 0.500

---

[7]
! Ca2HgCl2O2 PBE optimized geometry; values from VASP
! Crystal system: monoclinic
! Raw total energy, eV per atom: -4.613
! SG: C2/m
! Formation energy without anion corrections, meV/atom: -2054
&SYSTEM
  ibrav = 0, nat = 7, ntyp = 4
/
ATOMIC_SPECIES
Cl 35.45 Cl.upf
Ca 40.08 Ca.upf
Hg 200.59 Hg.upf
O 16.00 O.upf
CELL_PARAMETERS angstrom
3.823 0.000 0.000
1.912 6.338 1.043
1.912 2.545 6.649
ATOMIC_POSITIONS crystal
Cl 0.382 0.789 0.447
Cl 0.618 0.211 0.553
Ca 0.764 0.702 0.771
Ca 0.236 0.298 0.229
Hg 0.000 0.000 0.000
O 0.166 0.703 0.965
O 0.834 0.297 0.035

---

[8]
! Sc2CuPBr PBE optimized geometry; values from VASP
! Crystal system: tetragonal
! Raw total energy, eV per atom: -4.672
! SG: P4/mmm
! Formation energy without anion corrections, meV/atom: 97
&SYSTEM
  ibrav = 0, nat = 5, ntyp = 4
/
ATOMIC_SPECIES
P 30.97 P.upf
Sc 44.96 Sc.upf
Cu 63.55 Cu.upf
Br 79.90 Br.upf
CELL_PARAMETERS angstrom
-2.257 4.403 -0.199
-3.035 -1.372 4.053
3.349 1.859 3.137
ATOMIC_POSITIONS crystal
P 0.000 0.000 0.000
Sc 0.000 0.000 0.500
Sc 0.500 0.000 0.000
Cu 0.500 0.500 0.500
Br 0.000 0.500 0.000

---

[9]
! KTl2CuBi PBE optimized geometry; values from VASP
! Crystal system: tetragonal
! DFT formation energy, eV per formula unit: 0.13
! Raw total energy, eV per atom: -2.734
! SG: P4/mmm
! E above lowest polymorph, meV/atom: 0.0
&SYSTEM
  ibrav = 0, nat = 5, ntyp = 4
/
ATOMIC_SPECIES
K 39.10 K.upf
Bi 208.98 Bi.upf
Tl 204.38 Tl.upf
Cu 63.55 Cu.upf
CELL_PARAMETERS angstrom
-5.309 -0.675 -0.379
0.558 -1.516 -5.117
0.555 -5.277 1.624
ATOMIC_POSITIONS crystal
K 0.500 0.500 0.500
Bi 0.000 0.000 0.500
Tl 0.000 0.500 0.000
Tl 0.500 0.000 0.000
Cu 0.000 0.000 0.000

---

[10]
! YNpTl2Se4 PBE optimized geometry; values from VASP
! Crystal system: monoclinic
! Raw total energy, eV per atom: -5.898
! SG: P2/m
! Formation energy without anion corrections, meV/atom: -1139
&SYSTEM
  ibrav = 0, nat = 8, ntyp = 4
/
ATOMIC_SPECIES
Tl 204.38 Tl.upf
Se 78.96 Se.upf
Y 88.91 Y.upf
Np 237.00 Np.upf
CELL_PARAMETERS angstrom
4.210 0.000 0.000
0.000 7.307 0.129
0.000 -2.569 7.712
ATOMIC_POSITIONS crystal
Tl 0.500 0.000 0.500
Tl 0.000 0.500 0.500
Se 0.000 0.264 0.796
Se 0.500 0.232 0.205
Se 0.000 0.736 0.204
Se 0.500 0.768 0.795
Y 0.000 0.000 0.000
Np 0.500 0.500 0.000

---

[11]
! Sm2DyTl PBE optimized geometry; values from VASP
! Crystal system: tetragonal
! DFT formation energy, eV per formula unit: -0.76
! Raw total energy, eV per atom: -4.292
! SG: P4/mmm
! E above lowest polymorph, meV/atom: 0.0
&SYSTEM
  ibrav = 0, nat = 4, ntyp = 3
/
ATOMIC_SPECIES
Dy 162.50 Dy.upf
Sm 150.36 Sm.upf
Tl 204.38 Tl.upf
CELL_PARAMETERS angstrom
-1.896 0.335 -4.566
-0.686 -4.841 -0.070
-4.465 0.605 1.899
ATOMIC_POSITIONS crystal
Dy 0.500 0.500 0.500
Sm 0.000 0.000 0.500
Sm 0.000 0.500 0.000
Tl 0.500 0.000 0.000

---

[12]
! Dy2Zn2CuPd5 PBE optimized geometry; values from VASP
! Crystal system: tetragonal
! DFT formation energy, eV per formula unit: -6.11
! Raw total energy, eV per atom: -4.792
! SG: P4/mbm
&SYSTEM
  ibrav = 0, nat = 20, ntyp = 4
/
ATOMIC_SPECIES
Pd 106.42 Pd.upf
Dy 162.50 Dy.upf
Cu 63.55 Cu.upf
Zn 65.41 Zn.upf
CELL_PARAMETERS angstrom
3.766 0.000 0.000
0.000 9.583 0.000
0.000 0.000 9.583
ATOMIC_POSITIONS crystal
Pd 0.500 0.000 0.500
Pd 0.500 0.700 0.434
Pd 0.500 0.566 0.700
Pd 0.500 0.434 0.300
Pd 0.500 0.500 0.000
Pd 0.500 0.066 0.800
Pd 0.500 0.200 0.066
Pd 0.500 0.800 0.934
Pd 0.500 0.300 0.566
Pd 0.500 0.934 0.200
Dy 0.000 0.323 0.823
Dy 0.000 0.177 0.323
Dy 0.000 0.677 0.177
Dy 0.000 0.823 0.677
Cu 0.000 0.000 0.000
Cu 0.000 0.500 0.500
Zn 0.000 0.878 0.378
Zn 0.000 0.622 0.878
Zn 0.000 0.122 0.622
Zn 0.000 0.378 0.122